No. 1
Compound: Pm3Dy6Y2Zr
Source: the Alexandria database
Functional: PBE-GGA
Structure: optimized geometry

## Properties
For the density of states at the Fermi level, the calculation gives 15.17 states/eV/cell. Its raw total energy is -62.80 eV for the cell shown. The formation energy is 0.54 eV/f.u. For the magnetic moment, the calculation gives 0.00 μB per atom.

Cell: 6.1340 6.1340 11.7038 Å, 94.98 94.98 119.92°
Sites, in units of the cell vectors:
1 Dy 0.7549 0.7549 0.2425
2 Zr 0.0000 0.0000 0.0000
3 Dy 0.9195 0.5935 0.7572
4 Pm 0.5000 0.5000 0.5000
5 Pm 0.8338 0.1662 0.5000
6 Y 0.3332 0.6668 0.0000
7 Dy 0.2451 0.2451 0.7575
8 Dy 0.4065 0.0805 0.2428
9 Y 0.6668 0.3332 0.0000
10 Pm 0.1662 0.8338 0.5000
11 Dy 0.5935 0.9195 0.7572
12 Dy 0.0805 0.4065 0.2428

---

No. 2
Compound: Pm2Dy3Y6Zr
Source: the Alexandria database
Functional: PBE-GGA
Structure: optimized geometry

## Properties
For the density of states at the Fermi level, the calculation gives 15.94 states/eV/cell. Its raw total energy is -69.99 eV for the cell shown. The formation energy is 0.65 eV/f.u. For the magnetic moment, the calculation gives 0.00 μB per atom.

Cell: 6.1319 6.1319 11.7213 Å, 94.98 94.98 119.93°
Sites, in units of the cell vectors:
1 Dy 0.8336 0.1664 0.5000
2 Y 0.4088 0.0823 0.2468
3 Y 0.7559 0.7559 0.2465
4 Pm 0.3333 0.6667 0.0000
5 Y 0.2441 0.2441 0.7535
6 Y 0.5912 0.9177 0.7532
7 Pm 0.6667 0.3333 0.0000
8 Y 0.0823 0.4088 0.2468
9 Dy 0.1664 0.8336 0.5000
10 Dy 0.5000 0.5000 0.5000
11 Zr 0.0000 0.0000 0.0000
12 Y 0.9177 0.5912 0.7532